# 1
Pu3GaSi | GGA-PBE | optimized geometry

Cell lengths 8.2811, 8.9455, 6.1404 Å; angles 90.00, 90.00, 90.00 degrees
Last column: nearest neighbours and their distance in Å.
Fractional positions:
Si 0.7053 0.8578 0.0000  8 Pu 2.97-3.13, 2 Ga 3.07
Si 0.2947 0.1422 0.0000  8 Pu 2.97-3.13, 2 Ga 3.07
Si 0.7947 0.3578 0.5000  8 Pu 2.97-3.13, 2 Ga 3.07
Si 0.2053 0.6422 0.5000  8 Pu 2.97-3.13, 2 Ga 3.07
Pu 0.8937 0.6343 0.2505  3 Ga 2.95-3.04, 3 Si 2.97-3.02, 3 Pu 2.98-3.08
Pu 0.8937 0.6342 0.7495  3 Ga 2.95-3.04, 3 Si 2.97-3.02, 3 Pu 2.98-3.08
Pu 0.6063 0.1343 0.2495  3 Ga 2.95-3.04, 3 Si 2.97-3.02, 3 Pu 2.98-3.08
Pu 0.1063 0.3658 0.2505  3 Ga 2.95-3.04, 3 Si 2.97-3.02, 3 Pu 2.98-3.08
Pu 0.1063 0.3657 0.7495  3 Ga 2.95-3.04, 3 Si 2.97-3.02, 3 Pu 2.98-3.08
Pu 0.3937 0.8657 0.7505  3 Ga 2.95-3.04, 3 Si 2.97-3.02, 3 Pu 2.98-3.08
Pu 0.6063 0.1342 0.7505  3 Ga 2.95-3.04, 3 Si 2.97-3.02, 3 Pu 2.98-3.08
Pu 0.5000 0.5000 0.2556  2 Pu 3.00-3.14, 2 Si 3.13, 2 Ga 3.19
Pu 0.5000 0.5000 0.7444  2 Pu 3.00-3.14, 2 Si 3.13, 2 Ga 3.19
Pu 0.3937 0.8658 0.2495  3 Ga 2.95-3.04, 3 Si 2.97-3.02, 3 Pu 2.98-3.08
Pu 0.0000 0.0000 0.2444  2 Pu 3.00-3.14, 2 Si 3.13, 2 Ga 3.19
Pu 0.0000 0.0000 0.7556  2 Pu 3.00-3.14, 2 Si 3.13, 2 Ga 3.19
Ga 0.2958 0.1451 0.5000  8 Pu 2.95-3.19, 2 Si 3.07
Ga 0.7042 0.8549 0.5000  8 Pu 2.95-3.19, 2 Si 3.07
Ga 0.7958 0.3549 0.0000  8 Pu 2.95-3.19, 2 Si 3.07
Ga 0.2042 0.6451 0.0000  8 Pu 2.95-3.19, 2 Si 3.07

Summary:
N(E_F)	4.08	states/eV/atom
ΔE_f (raw)	-134.2	meV per atom

=====

# 2
PuGaSi4 | GGA-PBE | optimized geometry

Cell lengths 5.1897, 5.1897, 5.1897 Å; angles 60.00, 60.00, 60.00 degrees
Last column: nearest neighbours and their distance in Å.
Fractional positions:
Si 0.6261 0.1216 0.6261  6 Si 2.57-2.62
Si 0.6261 0.6261 0.6261  6 Si 2.57-2.62
Si 0.1216 0.6261 0.6261  6 Si 2.57-2.62
Si 0.6261 0.6261 0.1216  6 Si 2.57-2.62
Pu 0.2500 0.2500 0.2500  12 Si 3.05, 4 Ga 3.18
Ga 0.0000 0.0000 0.0000  12 Si 3.04, 4 Pu 3.18

Summary:
N(E_F)	1.50	states/eV/atom
ΔE_f (raw)	-123.7	meV per atom

=====

# 3
Pu2GaSi3 | GGA-PBE | optimized geometry

Cell lengths 3.9820, 4.0829, 7.0990 Å; angles 90.00, 90.00, 90.00 degrees
Last column: nearest neighbours and their distance in Å.
Fractional positions:
Si 0.5000 0.5000 0.6708  2 Si 2.34, 1 Ga 2.40
Si 0.5000 0.0000 0.8324  3 Si 2.34
Si 0.5000 0.0000 0.1616  1 Si 2.34, 2 Ga 2.38
Pu 0.0000 0.5000 0.9915  10 Si 3.02-3.10, 2 Ga 3.14
Pu 0.0000 0.0000 0.5104  8 Si 3.03-3.18, 4 Ga 3.12
Ga 0.5000 0.5000 0.3332  3 Si 2.38-2.40

Summary:
N(E_F)	2.78	states/eV/atom
ΔE_f (raw)	-443.2	meV per atom

=====

# 4
Pu8GaSi2 | GGA-PBE | optimized geometry

Cell lengths 4.6766, 7.3206, 8.1060 Å; angles 116.88, 106.77, 90.00 degrees
Last column: nearest neighbours and their distance in Å.
Fractional positions:
Pu 0.5996 0.4509 0.1992  3 Pu 2.67-2.70, 2 Si 2.86, 1 Ga 2.91
Pu 0.9974 0.6847 0.9947  4 Pu 2.70-2.88, 1 Si 2.96
Pu 0.8378 0.7809 0.6755  2 Pu 2.88-3.03, 3 Si 2.97-3.00
Pu 0.4004 0.5491 0.8008  3 Pu 2.67-2.70, 2 Si 2.86, 1 Ga 2.91
Pu 0.6627 0.8588 0.3254  1 Pu 2.67, 2 Si 2.97
Pu 0.1622 0.2191 0.3245  2 Pu 2.88-3.03, 3 Si 2.97-3.00
Pu 0.0026 0.3153 0.0053  4 Pu 2.70-2.88, 1 Si 2.96
Pu 0.3373 0.1412 0.6746  1 Pu 2.67, 2 Si 2.97
Ga 0.5000 0.0000 0.0000  8 Pu 2.91-3.25
Si 0.2047 0.6635 0.4094  9 Pu 2.86-3.11
Si 0.7953 0.3365 0.5906  9 Pu 2.86-3.11

Summary:
N(E_F)	3.36	states/eV/atom
ΔE_f (raw)	-160.2	meV per atom